VASP calculation (PBE-GGA) on a relaxed CaLa2CoSi crystal.

Results
DOS(E_F), states/eV per cell: 5.33
Size of the total moment, μB/atom: 0.119
ΔE to the lowest computed polymorph, meV/atom: 1194

a = 5.7160 Å, b = 4.3624 Å, c = 5.7160 Å
α = 90.00°, β = 90.00°, γ = 90.00°
Site moments in Bohr magnetons follow the coordinates.
Element x y z (fractional)
Ca 0.0000 0.0000 0.0000  -0.08
Co 0.0000 0.5000 0.0000  0.87
Si 0.5000 0.5000 0.5000  0.01
La 0.0000 0.0000 0.5000  -0.04
La 0.5000 0.0000 0.0000  -0.05